(1)
{"formula": "In2CoBr", "functional": "GGA-PBE", "state": "optimized geometry", "lattice": [[-3.1160, -2.8790, -7.1486], [-5.1547, -4.4952, -4.7247], [-5.8977, -1.1695, -5.7403]], "species": ["Co", "In", "Br", "In"], "frac_coords": [[0.7500, 0.7500, 0.7500], [0.4846, 0.4846, 0.4846], [0.2500, 0.2500, 0.2500], [0.0154, 0.0154, 0.0154]], "relative_energy_mev_per_atom": 34, "space_group": "R-3m, No. 166", "dos_ef_per_ev_fu": 2.9, "e_form_raw_ev_per_atom": 0.0392, "dft_energy_ev_per_atom": -3.525}

=====

(2)
{"formula": "InCoBr2", "functional": "GGA-PBE", "state": "optimized geometry", "lattice": [[-1.5915, 1.6993, 2.7391], [2.1955, -1.6652, 2.3087], [5.7360, 6.5500, -0.7305]], "species": ["Co", "In", "Br", "Br"], "frac_coords": [[0.0000, 0.0000, 0.4513], [0.5000, 0.5000, 0.9467], [0.5000, 0.5000, 0.3748], [0.0000, 0.0000, 0.7273]], "relative_energy_mev_per_atom": 121, "space_group": "P4mm, No. 99", "dos_ef_per_ev_fu": 3.3, "e_form_raw_ev_per_atom": -0.0542, "dft_energy_ev_per_atom": -3.352}

=====

(3)
{"formula": "In2CoBr", "functional": "GGA-PBE", "state": "optimized geometry", "lattice": [[6.6479, 0.3720, 0.0000], [3.7652, 5.4915, 0.0000], [-5.2066, -2.9318, 2.9377]], "species": ["In", "Co", "In", "Br"], "frac_coords": [[0.0000, 0.0000, 0.0000], [0.7500, 0.2500, 0.5000], [0.2500, 0.7500, 0.5000], [0.5000, 0.5000, 0.0000]], "relative_energy_mev_per_atom": 430, "space_group": "I-4m2, No. 119", "dos_ef_per_ev_fu": 1.5, "e_form_raw_ev_per_atom": 0.4350, "dft_energy_ev_per_atom": -3.129}

=====

(4)
{"formula": "InCoBr2", "functional": "GGA-PBE", "state": "optimized geometry", "lattice": [[-4.4424, -2.0083, -1.9144], [-3.7292, -1.6929, 3.2649], [-4.4875, 2.6622, 0.4558]], "species": ["Co", "Br", "Br", "In"], "frac_coords": [[0.5000, 0.5000, 0.5000], [0.0000, 0.0000, 0.0000], [0.7500, 0.7500, 0.7500], [0.2500, 0.2500, 0.2500]], "relative_energy_mev_per_atom": 691, "space_group": "F-43m, No. 216", "dos_ef_per_ev_fu": 1.0, "e_form_raw_ev_per_atom": 0.5155, "dft_energy_ev_per_atom": -2.782}

=====

(5)
{"formula": "In2CoBr", "functional": "GGA-PBE", "state": "optimized geometry", "lattice": [[3.2745, 0.0000, 0.0000], [0.0000, 3.2745, 0.0000], [0.0000, 0.0000, 8.3480]], "species": ["In", "Co", "Br", "In"], "frac_coords": [[0.5000, 0.5000, 0.2357], [0.5000, 0.5000, 0.7549], [0.0000, 0.0000, 0.5684], [0.0000, 0.0000, 0.9410]], "relative_energy_mev_per_atom": 211, "space_group": "P4mm, No. 99", "dos_ef_per_ev_fu": 4.1, "e_form_raw_ev_per_atom": 0.2165, "dft_energy_ev_per_atom": -3.347}

=====

(6)
{"formula": "In2CoBr", "functional": "GGA-PBE", "state": "optimized geometry", "lattice": [[-6.9243, 0.4650, 1.2550], [-6.0326, -1.9004, 3.1198], [-0.6329, 2.6196, 3.6253]], "species": ["In", "In", "Co", "Br"], "frac_coords": [[0.0730, 0.0730, 0.9277], [0.4270, 0.4270, 0.5723], [0.7500, 0.7500, 0.7500], [0.2500, 0.2500, 0.2500]], "relative_energy_mev_per_atom": 247, "space_group": "C2/m, No. 12", "dos_ef_per_ev_fu": 4.2, "e_form_raw_ev_per_atom": 0.2525, "dft_energy_ev_per_atom": -3.311}

=====

(7)
{"formula": "InCoBr2", "functional": "GGA-PBE", "state": "optimized geometry", "lattice": [[0.0000, 3.6708, 3.6708], [3.6708, 0.0000, 3.6708], [3.6708, 3.6708, 0.0000]], "species": ["Br", "Br", "Co", "In"], "frac_coords": [[0.7500, 0.7500, 0.7500], [0.2500, 0.2500, 0.2500], [0.0000, 0.0000, 0.0000], [0.5000, 0.5000, 0.5000]], "relative_energy_mev_per_atom": 477, "space_group": "Fm-3m, No. 225", "dos_ef_per_ev_fu": 11.7, "e_form_raw_ev_per_atom": 0.3013, "dft_energy_ev_per_atom": -2.996}

=====

(8)
{"formula": "In2CoBr", "functional": "GGA-PBE", "state": "optimized geometry", "lattice": [[-3.0722, 1.8875, -4.6111], [1.8834, -2.2890, -5.0475], [-2.3293, -1.1509, 5.2453]], "species": ["In", "In", "Co", "Br"], "frac_coords": [[0.4581, 0.4581, 0.0000], [0.0419, 0.0419, 0.0000], [0.2500, 0.7500, 0.5000], [0.7500, 0.2500, 0.5000]], "relative_energy_mev_per_atom": 328, "space_group": "Immm, No. 71", "dos_ef_per_ev_fu": 3.3, "e_form_raw_ev_per_atom": 0.3331, "dft_energy_ev_per_atom": -3.231}

=====

(9)
{"formula": "In2CoBr", "functional": "GGA-PBE", "state": "optimized geometry", "lattice": [[8.2901, 0.0091, -0.0399], [6.8479, 4.6724, 0.0399], [-7.5178, -2.5065, 2.4348]], "species": ["Co", "In", "Br", "In"], "frac_coords": [[0.2044, 0.7044, 0.5000], [0.0761, 0.0761, 0.0000], [0.4523, 0.4523, 0.0000], [0.7673, 0.2673, 0.5000]], "relative_energy_mev_per_atom": 68, "space_group": "Imm2, No. 44", "dos_ef_per_ev_fu": 2.3, "e_form_raw_ev_per_atom": 0.0736, "dft_energy_ev_per_atom": -3.490}

=====

(10)
{"formula": "InCoBr2", "functional": "GGA-PBE", "state": "optimized geometry", "lattice": [[3.5294, 0.0000, 0.0000], [0.0000, 4.3412, 0.0844], [0.0000, 2.0658, 7.4863]], "species": ["In", "Br", "Co", "Br"], "frac_coords": [[0.5000, 0.7302, 0.6631], [0.0000, 0.1084, 0.9047], [0.0000, 0.2706, 0.5836], [0.5000, 0.3908, 0.3486]], "relative_energy_mev_per_atom": 1, "space_group": "Pm, No. 6", "dos_ef_per_ev_fu": 3.3, "e_form_raw_ev_per_atom": -0.1743, "dft_energy_ev_per_atom": -3.472}

=====

(11)
{"formula": "InCoBr2", "functional": "GGA-PBE", "state": "optimized geometry", "lattice": [[3.7728, 0.0900, 0.0000], [-2.0959, 3.1384, 0.0000], [0.0000, 0.0000, 9.4223]], "species": ["Br", "Co", "Br", "In"], "frac_coords": [[0.0000, 0.0000, 0.9400], [0.0000, 0.0000, 0.5029], [0.5000, 0.5000, 0.3374], [0.5000, 0.5000, 0.7197]], "relative_energy_mev_per_atom": 164, "space_group": "Cmm2, No. 35", "dos_ef_per_ev_fu": 3.7, "e_form_raw_ev_per_atom": -0.0119, "dft_energy_ev_per_atom": -3.309}

=====

(12)
{"formula": "In2CoBr", "functional": "GGA-PBE", "state": "optimized geometry", "lattice": [[-0.6653, 3.1586, -7.4508], [0.4156, -5.0586, 1.5876], [-2.7767, -0.6721, -1.3478]], "species": ["In", "In", "Br", "Co"], "frac_coords": [[0.0000, 0.0000, 0.0000], [0.5000, 0.0000, 0.5000], [0.0000, 0.5000, 0.5000], [0.5000, 0.5000, 0.0000]], "relative_energy_mev_per_atom": 270, "space_group": "C2/m, No. 12", "dos_ef_per_ev_fu": 2.6, "e_form_raw_ev_per_atom": 0.2754, "dft_energy_ev_per_atom": -3.289}